# 1
12
Lattice="6.445 0.000 0.000 0.000 6.445 0.000 0.000 0.000 5.886" Properties=species:S:1:pos:R:3 comment="ErFeMo PBE optimized geometry" magmom_total_mub_per_fu=0.00 formation_enthalpy_0k_mev_per_atom=492 density_g_cm3=8.67 pbc="T T T"
Er 1.614 1.614 0.000
Er 1.609 4.836 1.471
Er 4.836 1.609 4.414
Er 4.831 4.831 2.943
Fe 0.323 0.323 2.943
Fe 2.899 3.546 4.414
Fe 3.546 2.899 1.471
Fe 6.122 6.122 0.000
Mo 1.256 5.189 4.414
Mo 1.967 1.967 2.943
Mo 4.478 4.478 0.000
Mo 5.189 1.256 1.471

# 2
12
Lattice="2.501 1.444 8.190 -2.501 1.444 8.190 0.000 -2.888 8.190" Properties=species:S:1:pos:R:3 comment="Er3Fe8Mo PBE optimized geometry" magmom_total_mub_per_fu=12.72 formation_enthalpy_0k_mev_per_atom=-47 density_g_cm3=9.77 pbc="T T T"
Er 0.000 0.000 0.000
Er 0.000 0.000 3.106
Er 0.000 0.000 12.376
Fe -1.262 -0.728 9.692
Fe 0.000 -1.450 5.737
Fe -1.256 0.725 5.737
Fe 0.000 0.000 7.705
Fe 1.262 -0.728 9.692
Fe 0.000 1.457 9.692
Fe 1.256 0.725 5.737
Fe 0.000 0.000 19.997
Mo 0.000 0.000 15.406

# 3
14
Lattice="-2.369 4.303 4.337 2.369 -4.303 4.337 2.369 4.303 -4.337" Properties=species:S:1:pos:R:3 comment="ErFe10Mo2N PBE optimized geometry" magmom_total_mub_per_fu=19.22 final_energy_ev_per_atom=-8.63 density_g_cm3=8.75 pbc="T T T"
Er 0.000 0.000 0.000
Fe 1.184 2.151 -2.168
Fe 1.184 -2.151 2.168
Fe 2.369 0.000 1.910
Fe 2.369 1.907 0.000
Fe 0.000 0.000 3.117
Fe -1.184 2.151 2.168
Fe 1.184 2.151 2.168
Fe 0.000 0.000 5.557
Fe 0.000 2.396 4.337
Fe 0.000 4.303 2.427
Mo 0.000 3.075 0.000
Mo 0.000 5.530 0.000
N 2.369 0.000 0.000

# 4
80
Lattice="-6.025 6.025 6.025 6.025 -6.025 6.025 6.025 6.025 -6.025" Properties=species:S:1:pos:R:3 comment="Er3Fe5N12 PBE optimized geometry" magmom_total_mub_per_fu=3.58 final_energy_ev_per_atom=-8.02 density_g_cm3=7.21 pbc="T T T"
Er 3.012 1.506 0.000
Er 6.025 3.012 -1.506
Er 1.506 0.000 3.012
Er 7.531 0.000 3.012
Er 0.000 3.012 1.506
Er 3.012 -1.506 6.025
Er 3.012 7.531 0.000
Er 6.025 3.012 4.518
Er -1.506 6.025 3.012
Er 4.518 6.025 3.012
Er 0.000 3.012 7.531
Er 3.012 4.518 6.025
Fe 0.000 0.000 0.000
Fe 3.012 3.012 -3.012
Fe 3.012 -3.012 3.012
Fe 6.025 0.000 0.000
Fe 9.037 1.506 0.000
Fe 6.025 -3.012 4.518
Fe 4.518 6.025 -3.012
Fe 4.518 0.000 3.012
Fe 3.012 4.518 0.000
Fe 6.025 3.012 1.506
Fe -3.012 3.012 3.012
Fe 0.000 6.025 0.000
Fe 0.000 0.000 6.025
Fe 3.012 3.012 3.012
Fe 0.000 3.012 4.518
Fe 3.012 1.506 6.025
Fe 1.506 6.025 3.012
Fe 1.506 0.000 9.037
Fe 0.000 9.037 1.506
Fe -3.012 4.518 6.025
N 1.797 -0.444 0.611
N 7.240 3.623 -3.456
N 7.822 0.444 0.611
N 7.240 -2.401 3.456
N 5.580 -0.611 1.797
N 9.481 -1.215 2.401
N 0.611 1.797 -0.444
N 8.426 2.568 -1.215
N 3.623 3.456 -1.215
N 5.414 1.797 0.444
N -0.444 0.611 1.797
N 3.456 -1.215 3.623
N 5.580 5.414 -1.797
N 3.456 1.215 2.401
N 3.623 -3.456 7.240
N 5.414 -1.797 5.580
N 2.401 3.456 1.215
N 6.636 4.227 0.444
N 3.456 7.240 -2.401
N 5.580 0.611 4.227
N 1.797 5.580 -0.611
N 7.240 2.401 2.568
N 1.215 2.401 3.456
N 1.797 0.444 5.414
N 4.227 5.580 0.611
N 4.810 3.623 2.568
N -1.215 3.623 3.456
N 4.227 0.444 6.636
N 0.444 5.414 1.797
N 2.568 -1.215 8.426
N -0.611 1.797 5.580
N 3.623 2.568 4.810
N 0.611 7.822 0.444
N 2.401 9.481 -1.215
N 2.568 4.810 3.623
N 0.444 0.611 7.822
N 2.568 7.240 2.401
N 6.469 5.414 4.227
N 0.611 4.227 5.580
N 2.401 2.568 7.240
N -2.401 3.456 7.240
N 5.414 4.227 6.469
N -3.456 7.240 3.623
N 0.444 6.636 4.227
N -1.215 8.426 2.568
N -1.797 5.580 5.414
N -1.215 2.401 9.481
N 4.227 6.469 5.414